GdMoO4F | PBE with a Hubbard U | relaxed

**N(E_F)**: 0.00 states/eV/cell
**Symmetry**: P2_1/c, No. 14
**Crystal system**: monoclinic
**E**: -8.7092 eV/atom

Lattice parameters (Å, degrees): 12.5829 5.3231 6.8238 66.85 90.00 90.00
Site moments in Bohr magnetons follow the coordinates.
Element x y z (fractional)
F 0.0984 0.5424 0.0390  0.01
F 0.5984 0.4576 0.4610  0.01
F 0.9016 0.4576 0.9610  0.01
F 0.4016 0.5424 0.5390  0.01
Gd 0.0525 0.3605 0.7992  6.93
Gd 0.5525 0.6395 0.7008  6.93
Gd 0.9475 0.6395 0.2008  6.93
Gd 0.4475 0.3605 0.2992  6.93
Mo 0.3576 0.0805 0.8683  0.01
Mo 0.8576 0.9195 0.6317  0.01
Mo 0.6424 0.9195 0.1317  0.01
Mo 0.1424 0.0805 0.3683  0.01
O 0.1520 0.7667 0.5895  -0.01
O 0.4341 0.3073 0.9608  -0.01
O 0.9310 0.9952 0.8356  0.00
O 0.4310 0.0048 0.6644  0.00
O 0.7249 0.8068 0.7056  -0.01
O 0.0690 0.0048 0.1644  0.00
O 0.7751 0.8068 0.2056  -0.01
O 0.5659 0.6927 0.0392  -0.01
O 0.2249 0.1932 0.7944  -0.01
O 0.6520 0.2333 0.9105  -0.01
O 0.3480 0.7667 0.0895  -0.01
O 0.5690 0.9952 0.3356  0.00
O 0.9341 0.6927 0.5392  -0.01
O 0.8480 0.2333 0.4105  -0.01
O 0.2751 0.1932 0.2944  -0.01
O 0.0659 0.3073 0.4608  -0.01